This record from Alexandria via LeMat-Bulk describes a relaxed structure of CuGeBi. The functional is PBE.

```
CuGeBi
1.0
5.9846 0.0000 0.0000
0.0000 5.9846 0.0000
0.0000 0.0000 7.8588
Cu Ge Bi
4 4 4
Direct
0.0573 0.0573 0.0000
0.4427 0.5573 0.2500
0.5573 0.4427 0.7500
0.9427 0.9427 0.5000
0.1653 0.8347 0.2500
0.3347 0.3347 0.0000
0.6653 0.6653 0.5000
0.8347 0.1653 0.7500
0.2335 0.7665 0.7500
0.2665 0.2665 0.5000
0.7335 0.7335 0.0000
0.7665 0.2335 0.2500
```

## Properties
Density of states at the Fermi level in states/eV per atom: 0.685
Total magnetization in μB/atom: 0.000
Total DFT energy (no corrections) in eV/cell: -46.67
SG: P4_12_12
Energy of formation from the pure elements in eV/atom: 0.31
Energy above the most stable polymorph in this dataset in meV per atom: 138

***

This record from Alexandria via LeMat-Bulk describes a relaxed structure of Cu2GeBi2. The functional is PBE.

```
Cu2GeBi2
1.0
7.0064 0.0000 0.0000
0.0000 7.0064 0.0000
0.0000 0.0000 4.2961
Cu Ge Bi
4 2 4
Direct
0.1273 0.3727 0.0000
0.3727 0.8727 0.0000
0.6273 0.1273 0.0000
0.8727 0.6273 0.0000
0.0000 0.0000 0.0000
0.5000 0.5000 0.0000
0.1746 0.6746 0.5000
0.3254 0.1746 0.5000
0.6746 0.8254 0.5000
0.8254 0.3254 0.5000
```

## Properties
Density of states at the Fermi level in states/eV per atom: 0.312
Total magnetization in μB/atom: 0.000
Total DFT energy (no corrections) in eV/cell: -38.84
SG: P4/mbm
Energy of formation from the pure elements in eV/atom: 0.23
Energy above the most stable polymorph in this dataset in meV per atom: 0

***

This record from Alexandria via LeMat-Bulk describes a relaxed structure of MgCuGeBi2. The functional is PBE.

```
MgCuGeBi2
1.0
5.4727 0.0000 0.0000
0.0000 5.4727 0.0000
0.0000 0.0000 4.9526
Mg Cu Ge Bi
1 1 1 2
Direct
0.0000 0.0000 0.0000
0.5000 0.5000 0.5000
0.0000 0.0000 0.5000
0.0000 0.5000 0.0000
0.5000 0.0000 0.0000
```

## Properties
Density of states at the Fermi level in states/eV per atom: 0.750
Total magnetization in μB/atom: 0.000
Total DFT energy (no corrections) in eV/cell: -13.92
SG: P4/mmm
Energy of formation from the pure elements in eV/atom: 0.83

***

This record from Alexandria via LeMat-Bulk describes a relaxed structure of NaCu2GeBi. The functional is PBE.

```
NaCu2GeBi
1.0
4.9573 0.0000 0.0000
0.0000 4.9573 0.0000
0.0000 0.0000 5.9720
Na Cu Ge Bi
1 2 1 1
Direct
0.0000 0.0000 0.0000
0.0000 0.5000 0.5000
0.5000 0.0000 0.5000
0.5000 0.5000 0.0000
0.5000 0.5000 0.5000
```

## Properties
Density of states at the Fermi level in states/eV per atom: 0.653
Total magnetization in μB/atom: 0.000
Total DFT energy (no corrections) in eV/cell: -14.73
SG: P4/mmm
Energy of formation from the pure elements in eV/atom: 0.66

***

This record from Alexandria via LeMat-Bulk describes a relaxed structure of Cu2GeBi2O6. The functional is PBE.

```
Cu2GeBi2O6
1.0
2.9725 1.7161 4.7945
-2.9725 1.7161 4.7945
0.0000 -3.4323 4.7945
Cu Ge Bi O
2 1 2 6
Direct
0.0915 0.0915 0.0915
0.9085 0.9085 0.9085
0.5000 0.5000 0.5000
0.2953 0.2953 0.2953
0.7047 0.7047 0.7047
0.2696 0.2696 0.7002
0.2696 0.7002 0.2696
0.2998 0.7304 0.7304
0.7002 0.2696 0.2696
0.7304 0.2998 0.7304
0.7304 0.7304 0.2998
```

## Properties
ΔE_f (raw) in eV per atom: -0.909
Density of states at the Fermi level in states/eV per atom: 0.176
Total magnetization in μB/atom: 0.000
Total DFT energy (no corrections) in eV/cell: -60.32
SG: R-3m

***

This record from Alexandria via LeMat-Bulk describes a relaxed structure of Cu2GeBiO6. The functional is PBE.

```
Cu2GeBiO6
1.0
5.6877 -3.8451 0.0000
5.6877 3.8451 0.0000
-3.0440 0.0000 6.4297
Cu Ge Bi O
4 2 2 12
Direct
0.1521 0.2478 0.1090
0.2478 0.1521 0.6090
0.7522 0.8479 0.3910
0.8479 0.7522 0.8910
0.3207 0.6793 0.2500
0.6793 0.3207 0.7500
0.2495 0.7505 0.7500
0.7505 0.2495 0.2500
0.1014 0.2484 0.3598
0.1408 0.7772 0.0323
0.2228 0.8592 0.4677
0.2484 0.1014 0.8598
0.3577 0.4073 0.2488
0.4073 0.3577 0.7488
0.5927 0.6423 0.2512
0.6423 0.5927 0.7512
0.7516 0.8986 0.1402
0.7772 0.1408 0.5323
0.8592 0.2228 0.9677
0.8986 0.7516 0.6402
```

## Properties
ΔE_f (raw) in eV per atom: -0.940
Density of states at the Fermi level in states/eV per atom: 0.338
Total magnetization in μB/atom: 0.000
Total DFT energy (no corrections) in eV/cell: -111.67
SG: C2/c

***

This record from Alexandria via LeMat-Bulk describes a relaxed structure of Cu2GeBiPb. The functional is PBE.

```
Cu2GeBiPb
1.0
4.9148 0.0000 0.0000
0.0000 4.9148 0.0000
0.0000 0.0000 5.8497
Cu Ge Bi Pb
2 1 1 1
Direct
0.0000 0.5000 0.0000
0.5000 0.0000 0.0000
0.0000 0.0000 0.5000
0.0000 0.0000 0.0000
0.5000 0.5000 0.5000
```

## Properties
Density of states at the Fermi level in states/eV per atom: 0.670
Total magnetization in μB/atom: 0.000
Total DFT energy (no corrections) in eV/cell: -16.58
SG: P4/mmm
Energy of formation from the pure elements in eV/atom: 0.76

***

This record from Alexandria via LeMat-Bulk describes a relaxed structure of CuGeBi2Pb. The functional is PBE.

```
CuGeBi2Pb
1.0
5.7498 0.0000 0.0000
0.0000 5.7498 0.0000
0.0000 0.0000 4.4550
Cu Ge Bi Pb
1 1 2 1
Direct
0.0000 0.0000 0.0000
0.0000 0.0000 0.5000
0.0000 0.5000 0.5000
0.5000 0.0000 0.5000
0.5000 0.5000 0.0000
```

## Properties
Density of states at the Fermi level in states/eV per atom: 0.547
Total magnetization in μB/atom: 0.000
Total DFT energy (no corrections) in eV/cell: -18.30
SG: P4/mmm
Energy of formation from the pure elements in eV/atom: 0.38

***

This record from Alexandria via LeMat-Bulk describes a relaxed structure of CuGeBi2Pd. The functional is PBE.

```
CuGeBi2Pd
1.0
5.1567 0.0000 0.0000
0.0000 5.1567 0.0000
0.0000 0.0000 4.7667
Cu Ge Bi Pd
1 1 2 1
Direct
0.0000 0.0000 0.0000
0.5000 0.5000 0.5000
0.0000 0.5000 0.0000
0.5000 0.0000 0.0000
0.0000 0.0000 0.5000
```

## Properties
Density of states at the Fermi level in states/eV per atom: 0.540
Total magnetization in μB/atom: 0.000
Total DFT energy (no corrections) in eV/cell: -19.10
SG: P4/mmm
Energy of formation from the pure elements in eV/atom: 0.51

***

This record from Alexandria via LeMat-Bulk describes a relaxed structure of RbCu2GeBi. The functional is PBE.

```
RbCu2GeBi
1.0
4.7679 0.0000 0.0000
0.0000 4.7679 0.0000
0.0000 0.0000 6.0111
Rb Cu Ge Bi
1 2 1 1
Direct
0.0000 0.0000 0.0000
0.0000 0.5000 0.5000
0.5000 0.0000 0.5000
0.0000 0.0000 0.5000
0.5000 0.5000 0.0000
```

## Properties
Density of states at the Fermi level in states/eV per atom: 0.635
Total magnetization in μB/atom: 0.000
Total DFT energy (no corrections) in eV/cell: -14.55
SG: P4/mmm
Energy of formation from the pure elements in eV/atom: 0.62

***

This record from Alexandria via LeMat-Bulk describes a relaxed structure of Cu2GeBiRu. The functional is PBE.

```
Cu2GeBiRu
1.0
4.7925 0.0000 0.0000
0.0000 4.7925 0.0000
0.0000 0.0000 5.6797
Cu Ge Bi Ru
2 1 1 1
Direct
0.0000 0.5000 0.0000
0.5000 0.0000 0.0000
0.0000 0.0000 0.5000
0.0000 0.0000 0.0000
0.5000 0.5000 0.5000
```

## Properties
Density of states at the Fermi level in states/eV per atom: 1.135
Total magnetization in μB/atom: 0.541
Total DFT energy (no corrections) in eV/cell: -17.90
SG: P4/mmm
Energy of formation from the pure elements in eV/atom: 1.61

***

This record from Alexandria via LeMat-Bulk describes a relaxed structure of CuGe2BiSe6. The functional is PBE.

```
CuGe2BiSe6
1.0
6.6313 -6.2503 0.0000
6.6313 6.2503 0.0000
-1.8236 0.0000 6.4526
Cu Ge Bi Se
2 4 2 12
Direct
0.2045 0.7955 0.7500
0.7955 0.2045 0.2500
0.1184 0.2685 0.7617
0.2685 0.1184 0.2617
0.7315 0.8816 0.7383
0.8816 0.7315 0.2383
0.3828 0.6172 0.2500
0.6172 0.3828 0.7500
0.0446 0.2191 0.0708
0.1075 0.6345 0.4328
0.2191 0.0446 0.5708
0.2971 0.4674 0.8138
0.3655 0.8925 0.0672
0.4674 0.2971 0.3138
0.5326 0.7029 0.6862
0.6345 0.1075 0.9328
0.7029 0.5326 0.1862
0.7809 0.9554 0.4292
0.8925 0.3655 0.5672
0.9554 0.7809 0.9292
```

## Properties
ΔE_f (raw) in eV per atom: -0.203
Total magnetization in μB/atom: 0.000
Total DFT energy (no corrections) in eV/cell: -80.29
SG: C2/c

***

This record from Alexandria via LeMat-Bulk describes a relaxed structure of Cu2GeBiSe4. The functional is PBE.

```
Cu2GeBiSe4
1.0
6.1379 0.0000 0.0000
0.0000 6.1379 0.0000
0.0000 0.0000 11.1198
Cu Ge Bi Se
4 2 2 8
Direct
0.0000 0.5000 0.2500
0.0000 0.5000 0.7500
0.5000 0.0000 0.2500
0.5000 0.0000 0.7500
0.0000 0.0000 0.0000
0.5000 0.5000 0.5000
0.0000 0.0000 0.5000
0.5000 0.5000 0.0000
0.2272 0.2272 0.8542
0.2272 0.7728 0.1458
0.2728 0.2728 0.3542
0.2728 0.7272 0.6458
0.7272 0.2728 0.6458
0.7272 0.7272 0.3542
0.7728 0.2272 0.1458
0.7728 0.7728 0.8542
```

## Properties
ΔE_f (raw) in eV per atom: -0.168
Density of states at the Fermi level in states/eV per atom: 0.432
Total magnetization in μB/atom: 0.000
Total DFT energy (no corrections) in eV/cell: -63.95
SG: I-42m